Record 1
An optimized crystal structure of LiCeY, computed with PBE.

Properties
- Energy relative to the lowest polymorph listed for this composition: 32 meV/atom
- ΔE_f: 177 meV per atom
- Space-group type: I4mm (107)

a b c (Å): 7.4302 7.4302 7.4302
angles (deg): 153.13 153.13 38.37
Fractional positions:
1 Li 0.0000 0.0000 0.0000
2 Ce 0.6619 0.6619 0.0000
3 Y 0.3412 0.3412 0.0000

---

Record 2
An optimized crystal structure of NaPb2F11, computed with PBE.

Properties
- Energy relative to the elements, uncorrected: -1.648 eV/atom
- Space-group type: Ibam (72)

a b c (Å): 8.6636 8.6636 8.6636
angles (deg): 121.53 105.93 101.68
Fractional positions:
1 Na 0.2500 0.2500 0.0000
2 Na 0.7500 0.7500 0.0000
3 Pb 0.2022 0.6673 0.8695
4 Pb 0.2978 0.1673 0.4650
5 Pb 0.7022 0.8327 0.5350
6 Pb 0.7978 0.3327 0.1305
7 F 0.0000 0.5000 0.5000
8 F 0.0309 0.9766 0.2817
9 F 0.0465 0.3674 0.1474
10 F 0.1898 0.4036 0.5934
11 F 0.1949 0.4766 0.9457
12 F 0.2200 0.8992 0.8526
13 F 0.2800 0.1326 0.6792
14 F 0.3051 0.2508 0.2817
15 F 0.3102 0.9036 0.2138
16 F 0.4535 0.6008 0.3208
17 F 0.4691 0.7508 0.9457
18 F 0.5000 0.0000 0.5000
19 F 0.5309 0.2492 0.0543
20 F 0.5465 0.3992 0.6792
21 F 0.6898 0.0964 0.7862
22 F 0.6949 0.7492 0.7183
23 F 0.7200 0.8674 0.3208
24 F 0.7800 0.1008 0.1474
25 F 0.8051 0.5234 0.0543
26 F 0.8102 0.5964 0.4066
27 F 0.9535 0.6326 0.8526
28 F 0.9691 0.0234 0.7183

---

Record 3
An optimized crystal structure of HfNpTiSn, computed with PBE.

Properties
- ΔE_f: 97 meV per atom
- Space-group type: F-43m (216)

a b c (Å): 4.9224 4.9224 4.9224
angles (deg): 60.00 60.00 60.00
Fractional positions:
1 Hf 0.0000 0.0000 0.0000
2 Np 0.7500 0.7500 0.7500
3 Ti 0.5000 0.5000 0.5000
4 Sn 0.2500 0.2500 0.2500

---

Record 4
An optimized crystal structure of PrSmSe, computed with PBE.

Properties
- Energy relative to the lowest polymorph listed for this composition: 88 meV/atom
- Energy relative to the elements, uncorrected: -1.009 eV/atom
- Space-group type: P4/nmm (129)

a b c (Å): 4.3520 4.3520 8.6476
angles (deg): 90.00 90.00 90.00
Fractional positions:
1 Pr 0.2500 0.2500 0.1356
2 Pr 0.7500 0.7500 0.8644
3 Sm 0.2500 0.7500 0.5000
4 Sm 0.7500 0.2500 0.5000
5 Se 0.2500 0.2500 0.7691
6 Se 0.7500 0.7500 0.2309

---

Record 5
An optimized crystal structure of Ca6TlAg, computed with PBE.

Properties
- Energy relative to the lowest polymorph listed for this composition: 116 meV/atom
- ΔE_f: -71 meV per atom
- Space-group type: P-1 (2)

a b c (Å): 7.3328 7.3438 7.9886
angles (deg): 90.19 117.16 119.92
Fractional positions:
1 Ca 0.0162 0.0720 0.2534
2 Ca 0.3100 0.7372 0.2538
3 Ca 0.3172 0.5546 0.7466
4 Ca 0.6828 0.4454 0.2534
5 Ca 0.6900 0.2628 0.7462
6 Ca 0.9838 0.9280 0.7466
7 Tl 0.5000 0.0000 0.0000
8 Ag 0.5000 0.5000 0.5000

---

Record 6
An optimized crystal structure of ZnFe2Sb, computed with PBE.

Properties
- Energy relative to the lowest polymorph listed for this composition: 299 meV/atom
- Energy relative to the elements, uncorrected: 0.458 eV/atom
- Space-group type: I-42d (122)

a b c (Å): 9.3746 9.3746 9.3746
angles (deg): 156.24 156.24 33.85
Fractional positions:
1 Zn 0.0000 0.0000 0.0000
2 Zn 0.7500 0.2500 0.5000
3 Fe 0.0882 0.6250 0.9632
4 Fe 0.3750 0.3382 0.4632
5 Fe 0.6618 0.1250 0.0368
6 Fe 0.8750 0.9118 0.5368
7 Sb 0.2500 0.7500 0.5000
8 Sb 0.5000 0.5000 0.0000

---

Record 7
An optimized crystal structure of LaZn3Rh, computed with PBE.

Properties
- Energy relative to the lowest polymorph listed for this composition: 135 meV/atom
- ΔE_f: -305 meV per atom
- Space-group type: Pm-3m (221)

a b c (Å): 4.7782 4.7782 4.7782
angles (deg): 90.00 90.00 90.00
Fractional positions:
1 La 0.0000 0.0000 0.0000
2 Zn 0.0000 0.5000 0.5000
3 Zn 0.5000 0.0000 0.5000
4 Zn 0.5000 0.5000 0.0000
5 Rh 0.5000 0.5000 0.5000

---

Record 8
An optimized crystal structure of Zn2ReSF, computed with PBE.

Properties
- Energy relative to the elements, uncorrected: 0.554 eV/atom
- Space-group type: P4/mmm (123)

a b c (Å): 3.9222 3.9222 5.0885
angles (deg): 90.00 90.00 90.00
Fractional positions:
1 Zn 0.0000 0.5000 0.0000
2 Zn 0.5000 0.0000 0.0000
3 Re 0.0000 0.0000 0.5000
4 S 0.5000 0.5000 0.5000
5 F 0.5000 0.5000 0.0000

---

Record 9
An optimized crystal structure of AcHoMg4, computed with PBE.

Properties
- ΔE_f: -82 meV per atom
- Space-group type: F-43m (216)

a b c (Å): 6.1876 6.1876 6.1876
angles (deg): 60.00 60.00 60.00
Fractional positions:
1 Ac 0.0000 0.0000 0.0000
2 Ho 0.7500 0.7500 0.7500
3 Mg 0.3758 0.3758 0.3758
4 Mg 0.3758 0.3758 0.8726
5 Mg 0.3758 0.8726 0.3758
6 Mg 0.8726 0.3758 0.3758

---

Record 10
An optimized crystal structure of CsNa4Se4, computed with PBE.

Properties
- Energy relative to the elements, uncorrected: -0.812 eV/atom
- Space-group type: P4_2/n (86)

a b c (Å): 9.8399 9.8399 5.8131
angles (deg): 90.00 90.00 90.00
Fractional positions:
1 Cs 0.2500 0.2500 0.2500
2 Cs 0.7500 0.7500 0.7500
3 Na 0.1079 0.6235 0.1339
4 Na 0.1235 0.8921 0.6339
5 Na 0.3765 0.6079 0.6339
6 Na 0.3921 0.8765 0.1339
7 Na 0.6079 0.1235 0.8661
8 Na 0.6235 0.3921 0.3661
9 Na 0.8765 0.1079 0.3661
10 Na 0.8921 0.3765 0.8661
11 Se 0.0768 0.9206 0.1305
12 Se 0.0794 0.5768 0.6305
13 Se 0.4206 0.9232 0.6305
14 Se 0.4232 0.5794 0.1305
15 Se 0.5768 0.4206 0.8695
16 Se 0.5794 0.0768 0.3695
17 Se 0.9206 0.4232 0.3695
18 Se 0.9232 0.0794 0.8695

---

Record 11
An optimized crystal structure of AcTlZnF6, computed with PBE.

Properties
- Energy relative to the elements, uncorrected: -2.994 eV/atom
- Space-group type: Imma (74)

a b c (Å): 7.6951 7.6951 7.6951
angles (deg): 120.25 113.85 95.27
Fractional positions:
1 Ac 0.0000 0.0000 0.0000
2 Ac 0.5000 0.0000 0.5000
3 Tl 0.3092 0.5592 0.7500
4 Tl 0.6908 0.4408 0.2500
5 Zn 0.0000 0.0000 0.5000
6 Zn 0.0000 0.5000 0.0000
7 F 0.0352 0.3927 0.2015
8 F 0.0352 0.8337 0.6425
9 F 0.0851 0.8351 0.2500
10 F 0.3088 0.1663 0.7015
11 F 0.3088 0.6073 0.1425
12 F 0.3717 0.1217 0.2500
13 F 0.6283 0.8783 0.7500
14 F 0.6912 0.3927 0.8575
15 F 0.6912 0.8337 0.2985
16 F 0.9149 0.1649 0.7500
17 F 0.9648 0.1663 0.3575
18 F 0.9648 0.6073 0.7985

---

Record 12
An optimized crystal structure of Ba2MgH8, computed with PBE.

Properties
- Space-group type: Immm (71)

a b c (Å): 7.0049 7.0049 7.0049
angles (deg): 142.45 132.62 61.97
Fractional positions:
1 Ba 0.1909 0.1909 0.0000
2 Ba 0.8091 0.8091 0.0000
3 Mg 0.5000 0.5000 0.0000
4 H 0.1482 0.3852 0.7630
5 H 0.3049 0.8049 0.5000
6 H 0.3778 0.6148 0.7630
7 H 0.4669 0.9669 0.5000
8 H 0.5331 0.0331 0.5000
9 H 0.6222 0.3852 0.2370
10 H 0.6951 0.1951 0.5000
11 H 0.8518 0.6148 0.2370

---

Record 13
An optimized crystal structure of BiSbPb6, computed with PBE.

Properties
- Energy relative to the lowest polymorph listed for this composition: 0 meV/atom
- Energy relative to the elements, uncorrected: 0.022 eV/atom
- Space-group type: Cmmm (65)

a b c (Å): 7.2692 7.2692 4.7556
angles (deg): 90.00 90.00 90.03
Fractional positions:
1 Bi 0.0000 0.0000 0.0000
2 Sb 0.5000 0.5000 0.0000
3 Pb 0.0000 0.5000 0.0000
4 Pb 0.2531 0.7469 0.5000
5 Pb 0.2542 0.2542 0.5000
6 Pb 0.5000 0.0000 0.0000
7 Pb 0.7458 0.7458 0.5000
8 Pb 0.7469 0.2531 0.5000

---

Record 14
An optimized crystal structure of PuBPt, computed with PBE.

Properties
- Energy relative to the lowest polymorph listed for this composition: 0 meV/atom
- ΔE_f: -407 meV per atom
- Space-group type: P-6m2 (187)

a b c (Å): 3.8160 3.8160 4.0993
angles (deg): 90.00 90.00 120.00
Fractional positions:
1 Pu 0.0000 0.0000 0.0000
2 B 0.6667 0.3333 0.5000
3 Pt 0.3333 0.6667 0.5000

---

Record 15
An optimized crystal structure of Na2HgS2, computed with PBE.

Properties
- Energy relative to the lowest polymorph listed for this composition: 0 meV/atom
- Energy relative to the elements, uncorrected: -0.765 eV/atom
- Space-group type: Pbca (61)

a b c (Å): 7.4894 7.5742 18.2973
angles (deg): 90.00 90.00 90.00
Fractional positions:
1 Na 0.0453 0.1820 0.1952
2 Na 0.0453 0.3180 0.6952
3 Na 0.2281 0.0084 0.5530
4 Na 0.2281 0.4916 0.0530
5 Na 0.2719 0.5084 0.5530
6 Na 0.2719 0.9916 0.0530
7 Na 0.4547 0.6820 0.1952
8 Na 0.4547 0.8180 0.6952
9 Na 0.5453 0.1820 0.3048
10 Na 0.5453 0.3180 0.8048
11 Na 0.7281 0.0084 0.9470
12 Na 0.7281 0.4916 0.4470
13 Na 0.7719 0.5084 0.9470
14 Na 0.7719 0.9916 0.4470
15 Na 0.9547 0.6820 0.3048
16 Na 0.9547 0.8180 0.8048
17 Hg 0.1478 0.2146 0.8881
18 Hg 0.1478 0.2854 0.3881
19 Hg 0.3522 0.7146 0.8881
20 Hg 0.3522 0.7854 0.3881
21 Hg 0.6478 0.2146 0.6119
22 Hg 0.6478 0.2854 0.1119
23 Hg 0.8522 0.7146 0.6119
24 Hg 0.8522 0.7854 0.1119
25 S 0.0811 0.7477 0.4518
26 S 0.0811 0.7523 0.9518
27 S 0.1138 0.6771 0.6813
28 S 0.1138 0.8229 0.1813
29 S 0.3862 0.1771 0.6813
30 S 0.3862 0.3229 0.1813
31 S 0.4189 0.2477 0.4518
32 S 0.4189 0.2523 0.9518
33 S 0.5811 0.7477 0.0482
34 S 0.5811 0.7523 0.5482
35 S 0.6138 0.6771 0.8187
36 S 0.6138 0.8229 0.3187
37 S 0.8862 0.1771 0.8187
38 S 0.8862 0.3229 0.3187
39 S 0.9189 0.2477 0.0482
40 S 0.9189 0.2523 0.5482

---

Record 16
An optimized crystal structure of TbPmCu3, computed with PBE.

Properties
- Energy relative to the lowest polymorph listed for this composition: 0 meV/atom
- ΔE_f: -228 meV per atom
- Space-group type: Cmcm (63)

a b c (Å): 12.9390 12.9390 4.3109
angles (deg): 90.00 90.00 163.45
Fractional positions:
1 Tb 0.2041 0.7959 0.7500
2 Tb 0.7959 0.2041 0.2500
3 Pm 0.0715 0.9285 0.2500
4 Pm 0.9285 0.0715 0.7500
5 Cu 0.3277 0.6723 0.7500
6 Cu 0.3809 0.6191 0.2500
7 Cu 0.4767 0.5233 0.2500
8 Cu 0.5233 0.4767 0.7500
9 Cu 0.6191 0.3809 0.7500
10 Cu 0.6723 0.3277 0.2500

---

Record 17
An optimized crystal structure of La7ZnPb2N2, computed with PBE.

Properties
- Energy relative to the elements, uncorrected: -0.772 eV/atom
- Space-group type: C2/m (12)

a b c (Å): 5.0833 5.0833 13.8188
angles (deg): 100.54 100.54 90.02
Fractional positions:
1 La 0.0000 0.0000 0.0000
2 La 0.0924 0.5921 0.1843
3 La 0.1925 0.1925 0.3864
4 La 0.4079 0.9076 0.8157
5 La 0.5921 0.0924 0.1843
6 La 0.8075 0.8075 0.6136
7 La 0.9076 0.4079 0.8157
8 Zn 0.5000 0.5000 0.0000
9 Pb 0.3212 0.3212 0.6414
10 Pb 0.6788 0.6788 0.3586
11 N 0.0998 0.0998 0.1994
12 N 0.9002 0.9002 0.8006

---

Record 18
An optimized crystal structure of SmEr6Tm2, computed with PBE.

Properties
- Energy relative to the lowest polymorph listed for this composition: 402 meV/atom
- ΔE_f: 401 meV per atom
- Space-group type: R3m (160)

a b c (Å): 8.5342 8.5342 8.5342
angles (deg): 47.48 47.48 47.48
Fractional positions:
1 Sm 0.0000 0.0000 0.0000
2 Er 0.0539 0.0539 0.5625
3 Er 0.0539 0.5625 0.0539
4 Er 0.2806 0.2806 0.7723
5 Er 0.2806 0.7723 0.2806
6 Er 0.5625 0.0539 0.0539
7 Er 0.7723 0.2806 0.2806
8 Tm 0.5872 0.5872 0.5872
9 Tm 0.7532 0.7532 0.7532

---

Record 19
An optimized crystal structure of Pm3Pr2DyTe6, computed with PBE.

Properties
- Energy relative to the elements, uncorrected: -1.397 eV/atom
- Space-group type: C2/m (12)

a b c (Å): 9.9809 9.9809 8.9904
angles (deg): 102.48 102.48 25.73
Fractional positions:
1 Pm 0.0000 0.0000 0.0000
2 Pm 0.3278 0.3278 0.6656
3 Pm 0.6722 0.6722 0.3344
4 Pr 0.3306 0.3306 0.1638
5 Pr 0.6694 0.6694 0.8362
6 Dy 0.0000 0.0000 0.5000
7 Te 0.1616 0.1616 0.5772
8 Te 0.1640 0.1640 0.0857
9 Te 0.4976 0.4976 0.7420
10 Te 0.5024 0.5024 0.2580
11 Te 0.8360 0.8360 0.9143
12 Te 0.8384 0.8384 0.4228

---

Record 20
An optimized crystal structure of MnGa2Ni5, computed with PBE.

Properties
- ΔE_f: -227 meV per atom
- Space-group type: I4/mmm (139)

a b c (Å): 7.1902 7.1902 7.1902
angles (deg): 149.57 149.57 43.58
Fractional positions:
1 Mn 0.0000 0.0000 0.0000
2 Ga 0.2514 0.2514 0.0000
3 Ga 0.7486 0.7486 0.0000
4 Ni 0.1267 0.6267 0.5000
5 Ni 0.3733 0.8733 0.5000
6 Ni 0.5000 0.5000 0.0000
7 Ni 0.6267 0.1267 0.5000
8 Ni 0.8733 0.3733 0.5000

---

Record 21
An optimized crystal structure of ZrZn2Hg, computed with PBE.

Properties
- ΔE_f: -110 meV per atom
- Space-group type: P4mm (99)

a b c (Å): 3.1364 3.1364 7.4893
angles (deg): 90.00 90.00 90.00
Fractional positions:
1 Zr 0.0000 0.0000 0.0000
2 Zn 0.0000 0.0000 0.5487
3 Zn 0.5000 0.5000 0.7493
4 Hg 0.5000 0.5000 0.2910

---

Record 22
An optimized crystal structure of ScOsS2Cl, computed with PBE.

Properties
- Energy relative to the lowest polymorph listed for this composition: 402 meV/atom
- Energy relative to the elements, uncorrected: 0.411 eV/atom
- Space-group type: P4/mmm (123)

a b c (Å): 4.9623 4.9623 4.7437
angles (deg): 90.00 90.00 90.00
Fractional positions:
1 Sc 0.0000 0.0000 0.0000
2 Os 0.5000 0.5000 0.5000
3 S 0.0000 0.5000 0.0000
4 S 0.5000 0.0000 0.0000
5 Cl 0.0000 0.0000 0.5000

---

Energy for every record listed, in sequence, given in eV/atom: -4.594, -3.742, -8.601, -5.337, -2.224, -5.123, -3.525, -3.645, -2.593, -3.041, -5.103, -3.188, -3.759, -9.424, -3.004, -4.561, -5.758, -4.159, -5.336, -5.743, -2.960, -5.122.